1.
# Sb2AuSe, optimized geometry, DFT PBEsol
# ΔE_f (raw)   0.1058 eV per atom
# Space group   No. 65
# DFT total energy   -16.466 eV per cell
data_Sb2AuSe
_cell_length_a 3.437
_cell_length_b 3.437
_cell_length_c 7.484
_cell_angle_alpha 90.00
_cell_angle_beta 90.00
_cell_angle_gamma 96.34
_symmetry_space_group_name_H-M 'P 1'
_symmetry_Int_Tables_number 1
loop_
_symmetry_equiv_pos_as_xyz
'x,y,z'
loop_
_atom_site_label
_atom_site_type_symbol
_atom_site_fract_x
_atom_site_fract_y
_atom_site_fract_z
Sb1 Sb 0.000 0.000 0.241
Sb2 Sb 0.000 0.000 0.759
Au1 Au 0.500 0.500 0.000
Se1 Se 0.500 0.500 0.500

***

2.
# CrAs4W, optimized geometry, DFT PBEsol
# Space group   No. 216
# Formation enthalpy at 0 K   1.041 eV per atom
# DFT total energy   -38.227 eV per cell
data_CrAs4W
_cell_length_a 5.284
_cell_length_b 5.284
_cell_length_c 5.284
_cell_angle_alpha 60.00
_cell_angle_beta 60.00
_cell_angle_gamma 60.00
_symmetry_space_group_name_H-M 'P 1'
_symmetry_Int_Tables_number 1
loop_
_symmetry_equiv_pos_as_xyz
'x,y,z'
loop_
_atom_site_label
_atom_site_type_symbol
_atom_site_fract_x
_atom_site_fract_y
_atom_site_fract_z
Cr1 Cr 0.000 0.000 0.000
As1 As 0.376 0.376 0.376
As2 As 0.376 0.376 0.873
As3 As 0.376 0.873 0.376
As4 As 0.873 0.376 0.376
W1 W 0.750 0.750 0.750

***

3.
# Li5Co2Ni5O12, optimized geometry, DFT PBEsol
# ΔE_f (raw)   -1.2386 eV per atom
# Space group   No. 5
# DFT total energy   -148.814 eV per cell
data_Li5Co2Ni5O12
_cell_length_a 4.933
_cell_length_b 4.933
_cell_length_c 9.438
_cell_angle_alpha 95.10
_cell_angle_beta 95.10
_cell_angle_gamma 120.55
_symmetry_space_group_name_H-M 'P 1'
_symmetry_Int_Tables_number 1
loop_
_symmetry_equiv_pos_as_xyz
'x,y,z'
loop_
_atom_site_label
_atom_site_type_symbol
_atom_site_fract_x
_atom_site_fract_y
_atom_site_fract_z
Li1 Li 0.000 0.000 0.000
Li2 Li 0.076 0.412 0.244
Li3 Li 0.249 0.250 0.757
Li4 Li 0.588 0.924 0.756
Li5 Li 0.750 0.751 0.243
Co1 Co 0.162 0.838 0.500
Co2 Co 0.664 0.336 0.000
Ni1 Ni 0.334 0.666 0.000
Ni2 Ni 0.400 0.083 0.245
Ni3 Ni 0.493 0.507 0.500
Ni4 Ni 0.829 0.171 0.500
Ni5 Ni 0.917 0.600 0.755
O1 O 0.045 0.691 0.117
O2 O 0.131 0.120 0.385
O3 O 0.184 0.548 0.611
O4 O 0.309 0.955 0.883
O5 O 0.392 0.384 0.115
O6 O 0.452 0.816 0.389
O7 O 0.534 0.210 0.617
O8 O 0.616 0.608 0.885
O9 O 0.675 0.042 0.115
O10 O 0.790 0.466 0.383
O11 O 0.880 0.869 0.615
O12 O 0.958 0.325 0.885

***

4.
# Ca3Sb2O7, optimized geometry, DFT PBEsol
# ΔE_f (raw)   -2.2089 eV per atom
# Space group   No. 36
# DFT total energy   -157.533 eV per cell
data_Ca3Sb2O7
_cell_length_a 10.295
_cell_length_b 10.295
_cell_length_c 5.887
_cell_angle_alpha 90.00
_cell_angle_beta 90.00
_cell_angle_gamma 31.94
_symmetry_space_group_name_H-M 'P 1'
_symmetry_Int_Tables_number 1
loop_
_symmetry_equiv_pos_as_xyz
'x,y,z'
loop_
_atom_site_label
_atom_site_type_symbol
_atom_site_fract_x
_atom_site_fract_y
_atom_site_fract_z
Ca1 Ca 0.045 0.569 0.379
Ca2 Ca 0.227 0.773 0.500
Ca3 Ca 0.431 0.955 0.379
Ca4 Ca 0.569 0.045 0.879
Ca5 Ca 0.773 0.227 0.000
Ca6 Ca 0.955 0.431 0.879
Sb1 Sb 0.152 0.642 0.942
Sb2 Sb 0.358 0.848 0.942
Sb3 Sb 0.642 0.152 0.442
Sb4 Sb 0.848 0.358 0.442
O1 O 0.029 0.130 0.746
O2 O 0.055 0.349 0.488
O3 O 0.130 0.029 0.246
O4 O 0.318 0.421 0.649
O5 O 0.349 0.055 0.988
O6 O 0.376 0.624 0.887
O7 O 0.421 0.318 0.149
O8 O 0.579 0.682 0.649
O9 O 0.624 0.376 0.387
O10 O 0.651 0.945 0.488
O11 O 0.682 0.579 0.149
O12 O 0.870 0.971 0.746
O13 O 0.945 0.651 0.988
O14 O 0.971 0.870 0.246

***

5.
# TaHgW2, optimized geometry, DFT PBEsol
# Space group   No. 35
# Formation enthalpy at 0 K   0.259 eV per atom
# DFT total energy   -39.698 eV per cell
data_TaHgW2
_cell_length_a 2.794
_cell_length_b 2.794
_cell_length_c 9.238
_cell_angle_alpha 90.00
_cell_angle_beta 90.00
_cell_angle_gamma 108.63
_symmetry_space_group_name_H-M 'P 1'
_symmetry_Int_Tables_number 1
loop_
_symmetry_equiv_pos_as_xyz
'x,y,z'
loop_
_atom_site_label
_atom_site_type_symbol
_atom_site_fract_x
_atom_site_fract_y
_atom_site_fract_z
Ta1 Ta 0.000 0.000 0.000
Hg1 Hg 0.500 0.500 0.265
W1 W 0.000 0.000 0.529
W2 W 0.500 0.500 0.759

***

6.
# GeH3Cl, optimized geometry, DFT PBEsol
# Space group   No. 36
# DFT total energy   -35.283 eV per cell
data_GeH3Cl
_cell_length_a 4.399
_cell_length_b 4.399
_cell_length_c 7.939
_cell_angle_alpha 90.00
_cell_angle_beta 90.00
_cell_angle_gamma 75.55
_symmetry_space_group_name_H-M 'P 1'
_symmetry_Int_Tables_number 1
loop_
_symmetry_equiv_pos_as_xyz
'x,y,z'
loop_
_atom_site_label
_atom_site_type_symbol
_atom_site_fract_x
_atom_site_fract_y
_atom_site_fract_z
Ge1 Ge 0.046 0.954 0.500
Ge2 Ge 0.954 0.046 0.000
H1 H 0.073 0.297 0.093
H2 H 0.200 0.800 0.905
H3 H 0.297 0.073 0.593
H4 H 0.703 0.927 0.093
H5 H 0.800 0.200 0.405
H6 H 0.927 0.703 0.593
Cl1 Cl 0.321 0.679 0.289
Cl2 Cl 0.679 0.321 0.789

***

- Number 6 is which compound?
  GeH3Cl

***

- Which value of DFT total energy does entry 1 give?
  -16.466 eV per cell

***

- What is the DFT total energy in the first record?
  -16.466 eV per cell

***

- Which of these has the lowest DFT total energy?
  Ca3Sb2O7